# 1
ZrIn2Co: relaxed, GGA-PBE.

a b c (Å): 6.7171 5.3193 3.0187
angles (deg): 89.95 63.38 120.28
Fractional positions:
Co 0.5000 0.5000 0.0000
In 0.0000 0.0000 0.0000
In 0.5000 0.0000 0.5000
Zr 0.0000 0.5000 0.5000

Its space group is No. 65. The formation energy from the elements is 0.46 eV per formula unit. The value obtained for the volume is 19.90 Å³/atom.

***

# 2
MnCd2Co: relaxed, GGA-PBE.

a b c (Å): 2.9010 2.9010 7.7735
angles (deg): 90.00 90.00 90.01
Fractional positions:
Cd 0.0000 0.0000 0.0138
Cd 0.0000 0.0000 0.4862
Co 0.5000 0.5000 0.2500
Mn 0.5000 0.5000 0.7500

Its space group is No. 123. The formation energy from the elements is 1.41 eV per formula unit. For the energy above the lowest structure with this stoichiometry, the calculation gives 202.3 meV/atom. The value obtained for the volume is 16.35 Å³/atom.

***

Copy entry 2 word for word.
MnCd2Co: relaxed, GGA-PBE.

a b c (Å): 2.9010 2.9010 7.7735
angles (deg): 90.00 90.00 90.01
Fractional positions:
Cd 0.0000 0.0000 0.0138
Cd 0.0000 0.0000 0.4862
Co 0.5000 0.5000 0.2500
Mn 0.5000 0.5000 0.7500

Its space group is No. 123. The formation energy from the elements is 1.41 eV per formula unit. For the energy above the lowest structure with this stoichiometry, the calculation gives 202.3 meV/atom. The value obtained for the volume is 16.35 Å³/atom.

***

What is the volume in the first record? 19.90 Å³/atom